[1]
Compound: TlReSb2
Source: Alexandria
Functional: GGA-PBE
Structure: optimized geometry

## Properties
Its symmetry is P4mm. The value obtained for the formation energy without anion corrections is 0.582 eV per atom. The calculation puts the uncorrected energy at -5.182 eV/atom. For the energy relative to the lowest polymorph listed for this composition, the calculation gives 362.8 meV per atom. The density comes out at 11.29 g cm⁻³.

a = 3.266 Å, b = 3.266 Å, c = 8.739 Å
α = 90.00°, β = 90.00°, γ = 90.00°
Positions (direct):
Tl (0.000, 0.000, 0.000)
Re (0.500, 0.500, 0.222)
Sb (0.000, 0.000, 0.393)
Sb (0.500, 0.500, 0.702)


[2]
Compound: Bi3H2Pd7
Source: Alexandria
Functional: GGA-PBE
Structure: optimized geometry

## Properties
Its symmetry is P2/m. The calculation puts the uncorrected energy at -4.747 eV/atom. For the energy relative to the lowest polymorph listed for this composition, the calculation gives 0.0 meV per atom. The density comes out at 11.83 g cm⁻³.

a = 4.265 Å, b = 4.016 Å, c = 11.401 Å
α = 90.00°, β = 99.00°, γ = 90.00°
Positions (direct):
Bi (0.000, 0.000, 0.000)
Bi (0.305, 0.500, 0.625)
Bi (0.695, 0.500, 0.375)
H (0.198, 0.000, 0.245)
H (0.802, 0.000, 0.755)
Pd (0.100, 0.500, 0.200)
Pd (0.202, 0.000, 0.405)
Pd (0.411, 0.000, 0.808)
Pd (0.500, 0.500, 0.000)
Pd (0.589, 0.000, 0.192)
Pd (0.798, 0.000, 0.595)
Pd (0.900, 0.500, 0.800)


[3]
Compound: LuThHg4
Source: Alexandria
Functional: GGA-PBE
Structure: optimized geometry

## Properties
Its symmetry is F-43m. The calculation puts the uncorrected energy at -2.277 eV/atom. The calculation puts the formation energy at -0.086 eV per atom. The density comes out at 13.36 g cm⁻³.

a = 5.968 Å, b = 5.968 Å, c = 5.968 Å
α = 60.00°, β = 60.00°, γ = 60.00°
Positions (direct):
Lu (0.000, 0.000, 0.000)
Th (0.250, 0.250, 0.250)
Hg (0.124, 0.625, 0.625)
Hg (0.625, 0.124, 0.625)
Hg (0.625, 0.625, 0.124)
Hg (0.625, 0.625, 0.625)


> Number 3 is which compound?

LuThHg4


> What is the formula in the third record?

LuThHg4


> What is the formula in the first record?

TlReSb2


> Which of these has the highest uncorrected energy?

LuThHg4